Record 1
A PBEsol-optimized structure of SrPtRh3, computed with SCAN.

Summary:
SG = Pm-3m
Spin magnetization = 0.5753 μB per atom
ρ = 8.91 g cm⁻³
Electronic total energy = -38.1701 eV/atom
Energy of formation = 0.586 eV per atom
N(E_F) = 1.0060 states/eV per atom

Cell: 4.795 4.795 4.795 Å, 90.00 90.00 90.00°
Atoms (fractional coordinates):
Sr  0.000  0.000  0.000
Pt  0.500  0.500  0.500
Rh  0.000  0.500  0.500
Rh  0.500  0.000  0.500
Rh  0.500  0.500  0.000

=====

Record 2
A PBEsol-optimized structure of SrPt2Rh, computed with SCAN.

Summary:
SG = Fm-3m
Spin magnetization = 0.2211 μB per atom
ρ = 13.41 g cm⁻³
Electronic total energy = -49.0499 eV/atom
Energy of formation = 0.058 eV per atom
N(E_F) = 0.9334 states/eV per atom

Cell: 4.668 4.668 4.668 Å, 60.00 60.00 60.00°
Atoms (fractional coordinates):
Sr  0.000  0.000  0.000
Pt  0.250  0.250  0.250
Pt  0.750  0.750  0.750
Rh  0.500  0.500  0.500

=====

Record 3
A PBEsol-optimized structure of Sr2PtRh, computed with SCAN.

Summary:
SG = P4mm
Spin magnetization = 0.0000 μB per atom
ρ = 7.17 g cm⁻³
Electronic total energy = -37.3074 eV/atom
Energy of formation = -0.179 eV per atom
N(E_F) = 0.7908 states/eV per atom

Cell: 3.593 3.593 8.495 Å, 90.00 90.00 90.00°
Atoms (fractional coordinates):
Sr  0.000  0.000  0.000
Sr  0.500  0.500  0.433
Pt  0.000  0.000  0.666
Rh  0.500  0.500  0.760

=====

The lowest electronic total energy belongs to which entry? SrPt2Rh

=====

Please write out number 2 again, unchanged.
A PBEsol-optimized structure of SrPt2Rh, computed with SCAN.

Summary:
SG = Fm-3m
Spin magnetization = 0.2211 μB per atom
ρ = 13.41 g cm⁻³
Electronic total energy = -49.0499 eV/atom
Energy of formation = 0.058 eV per atom
N(E_F) = 0.9334 states/eV per atom

Cell: 4.668 4.668 4.668 Å, 60.00 60.00 60.00°
Atoms (fractional coordinates):
Sr  0.000  0.000  0.000
Pt  0.250  0.250  0.250
Pt  0.750  0.750  0.750
Rh  0.500  0.500  0.500

=====

Which formula does entry 1 have? SrPtRh3

=====

What did the first record say?
A PBEsol-optimized structure of SrPtRh3, computed with SCAN.

Summary:
SG = Pm-3m
Spin magnetization = 0.5753 μB per atom
ρ = 8.91 g cm⁻³
Electronic total energy = -38.1701 eV/atom
Energy of formation = 0.586 eV per atom
N(E_F) = 1.0060 states/eV per atom

Cell: 4.795 4.795 4.795 Å, 90.00 90.00 90.00°
Atoms (fractional coordinates):
Sr  0.000  0.000  0.000
Pt  0.500  0.500  0.500
Rh  0.000  0.500  0.500
Rh  0.500  0.000  0.500
Rh  0.500  0.500  0.000